*a*
First-principles (GGA-PBE) data for an optimized crystal structure of PmPaTeAs, as listed in Alexandria.

Structure (POSCAR):
```
PmPaTeAs
1.0
-3.007 4.009 1.447
-3.189 2.251 -3.461
-5.162 -0.628 0.416
As Pm Te Pa
1 1 1 1
Cartesian
-2.839 1.408 -0.399 As
-5.679 2.816 -0.799 Pm
-8.518 4.224 -1.198 Te
0.000 0.000 0.000 Pa
```

- density of states at the Fermi level (states/eV per atom) = 0.960



*b*
First-principles (GGA-PBE) data for an optimized crystal structure of PmPaTeAs, as listed in Alexandria.

Structure (POSCAR):
```
PmPaTeAs
1.0
-3.205 2.087 1.581
-0.174 -1.433 -3.879
-0.785 -7.406 2.770
Te Pm As Pa
1 1 1 1
Cartesian
-3.438 -1.192 1.045 Te
-2.111 -3.998 2.022 Pm
-1.768 -6.626 0.769 As
-0.601 -1.762 -3.288 Pa
```

- density of states at the Fermi level (states/eV per atom) = 1.335



Which structure loses on stability? *a* does.



*a*
First-principles (GGA-PBE) data for an optimized crystal structure of PrPaAs, as listed in Alexandria.

Structure (POSCAR):
```
PrPaAs
1.0
6.702 0.000 0.000
0.000 3.903 0.000
0.000 -1.951 3.380
Pr Pa As
1 1 1
Cartesian
4.116 1.951 1.127 Pr
0.412 0.000 0.000 Pa
2.174 0.000 2.253 As
```

- density of states at the Fermi level (states/eV per atom) = 1.540



*b*
First-principles (GGA-PBE) data for an optimized crystal structure of PrPaAs, as listed in Alexandria.

Structure (POSCAR):
```
PrPaAs
1.0
3.627 0.000 0.000
0.000 3.523 0.000
0.000 1.761 12.457
As Pa Pr
2 2 2
Cartesian
0.907 1.761 9.682 As
2.720 3.523 2.775 As
2.720 3.523 11.312 Pa
0.907 1.761 1.145 Pa
0.907 1.761 4.630 Pr
2.720 3.523 7.827 Pr
```

- density of states at the Fermi level (states/eV per atom) = 1.676



Which structure loses on stability? *b* does.



*a*
First-principles (GGA-PBE) data for an optimized crystal structure of Pr3PaAs4, as listed in Alexandria.

Structure (POSCAR):
```
Pr3PaAs4
1.0
-2.666 1.792 -2.778
-1.432 -6.608 -2.889
-4.752 1.368 5.442
As Pr Pa
4 3 1
Cartesian
-3.567 -3.784 -2.265 As
-1.466 -1.242 0.605 As
-5.283 0.336 2.039 As
-4.718 -3.998 1.948 As
-2.376 0.684 2.721 Pr
-0.716 -3.304 -1.444 Pr
-4.425 -1.724 -0.113 Pr
-1.333 0.896 -1.389 Pa
```

- density of states at the Fermi level (states/eV per atom) = 0.697



*b*
First-principles (GGA-PBE) data for an optimized crystal structure of Pr3PaAs4, as listed in Alexandria.

Structure (POSCAR):
```
Pr3PaAs4
1.0
5.481 0.000 -2.433
-1.080 5.374 -2.433
-0.017 -0.020 7.354
As Pr Pa
4 3 1
Cartesian
1.042 1.272 2.348 As
2.741 0.000 -1.216 As
3.343 4.081 0.141 As
-0.540 2.687 -1.216 As
3.833 1.333 1.244 Pr
2.201 2.687 -2.433 Pr
0.552 4.020 1.244 Pr
0.000 0.000 0.000 Pa
```

- density of states at the Fermi level (states/eV per atom) = 0.571



Which structure loses on stability? *b* does.



*a*
First-principles (GGA-PBE) data for an optimized crystal structure of PuPaAs, as listed in Alexandria.

Structure (POSCAR):
```
PuPaAs
1.0
-1.219 0.187 3.254
2.542 -3.733 1.167
1.806 4.280 0.431
Pu As Pa
1 1 1
Cartesian
1.491 -0.939 3.071 Pu
1.583 1.680 1.927 As
-1.165 0.178 3.108 Pa
```

- density of states at the Fermi level (states/eV per atom) = 1.943



*b*
First-principles (GGA-PBE) data for an optimized crystal structure of PuPaAs, as listed in Alexandria.

Structure (POSCAR):
```
PuPaAs
1.0
-1.632 -2.025 2.889
3.466 -0.324 1.731
-1.674 4.959 -0.086
As Pa Pu
1 1 1
Cartesian
0.233 2.241 4.317 As
-0.455 2.274 1.337 Pa
0.768 -0.431 2.747 Pu
```

- density of states at the Fermi level (states/eV per atom) = 1.787



Which structure loses on stability? *a* does.



*a*
First-principles (GGA-PBE) data for an optimized crystal structure of PuPa2As3, as listed in Alexandria.

Structure (POSCAR):
```
PuPa2As3
1.0
7.011 -0.024 -1.172
-3.780 5.905 -1.172
-0.011 -0.019 7.122
Pa As Pu
4 6 2
Cartesian
-2.001 4.915 2.389 Pa
5.208 0.955 2.389 Pa
-0.183 3.929 -1.172 Pa
1.625 2.923 2.389 Pa
-0.984 2.471 1.208 As
0.793 1.464 4.746 As
0.608 5.368 3.569 As
2.411 4.408 0.031 As
4.225 3.407 3.574 As
2.611 0.470 1.204 As
3.418 1.951 -1.172 Pu
6.998 -0.041 5.950 Pu
```

- density of states at the Fermi level (states/eV per atom) = 1.987



*b*
First-principles (GGA-PBE) data for an optimized crystal structure of PuPa2As3, as listed in Alexandria.

Structure (POSCAR):
```
PuPa2As3
1.0
3.883 0.000 0.000
0.000 7.043 0.000
0.000 0.000 10.701
As Pu Pa
6 2 4
Cartesian
1.941 5.238 10.436 As
1.941 1.716 0.265 As
0.000 1.628 3.996 As
0.000 5.150 6.705 As
1.941 5.305 3.106 As
1.941 1.784 7.595 As
0.000 3.536 1.741 Pu
0.000 0.014 8.960 Pu
1.941 6.980 5.405 Pa
0.000 6.904 1.502 Pa
0.000 3.382 9.198 Pa
1.941 3.459 5.296 Pa
```

- density of states at the Fermi level (states/eV per atom) = 1.837



Which structure loses on stability? *b* does.



*a*
First-principles (GGA-PBE) data for an optimized crystal structure of Pa2ReAs, as listed in Alexandria.

Structure (POSCAR):
```
Pa2ReAs
1.0
-0.163 1.718 -2.867
-3.342 -0.127 0.114
-0.114 6.447 3.869
As Re Pa
1 1 2
Cartesian
-1.809 4.018 0.558 As
-1.752 0.795 -1.376 Re
-0.028 1.563 0.938 Pa
-0.086 4.883 2.931 Pa
```

- density of states at the Fermi level (states/eV per atom) = 1.379



*b*
First-principles (GGA-PBE) data for an optimized crystal structure of Pa2ReAs, as listed in Alexandria.

Structure (POSCAR):
```
Pa2ReAs
1.0
4.000 0.000 0.000
2.000 3.464 0.000
2.000 1.155 6.906
Re As Pa
1 1 2
Cartesian
0.000 0.000 0.000 Re
4.000 2.310 3.453 As
6.000 3.464 5.351 Pa
2.000 1.155 1.554 Pa
```

- density of states at the Fermi level (states/eV per atom) = 0.949



Which structure loses on stability? *a* does.



*a*
First-principles (GGA-PBE) data for an optimized crystal structure of PaReAs, as listed in Alexandria.

Structure (POSCAR):
```
PaReAs
1.0
-1.295 0.046 -3.701
3.648 0.914 -1.082
-1.785 -9.324 6.463
As Pa Re
2 2 2
Cartesian
0.480 0.212 -1.170 As
0.088 -8.576 2.849 As
1.795 -5.195 1.380 Pa
-1.227 -3.168 0.299 Pa
-0.157 -2.209 -2.050 Re
0.725 -6.155 3.729 Re
```

- density of states at the Fermi level (states/eV per atom) = 0.777



*b*
First-principles (GGA-PBE) data for an optimized crystal structure of PaReAs, as listed in Alexandria.

Structure (POSCAR):
```
PaReAs
1.0
-1.827 2.467 0.996
-2.657 -1.624 -0.851
1.991 -2.609 4.883
As Re Pa
1 1 1
Cartesian
-0.128 -1.120 2.539 As
-2.311 -0.181 1.440 Re
-2.470 -1.573 4.593 Pa
```

- density of states at the Fermi level (states/eV per atom) = 0.927



Which structure loses on stability? *a* does.



*a*
First-principles (GGA-PBE) data for an optimized crystal structure of Pa2AsS2, as listed in Alexandria.

Structure (POSCAR):
```
Pa2AsS2
1.0
3.998 0.000 0.000
0.000 5.389 0.000
-1.999 -2.695 6.153
S Pa As
2 2 1
Cartesian
1.999 2.695 2.191 S
0.000 0.000 3.962 S
0.000 2.695 4.131 Pa
1.999 0.000 2.022 Pa
0.000 0.000 0.000 As
```

- density of states at the Fermi level (states/eV per atom) = 1.559



*b*
First-principles (GGA-PBE) data for an optimized crystal structure of Pa2AsS2, as listed in Alexandria.

Structure (POSCAR):
```
Pa2AsS2
1.0
4.026 0.000 0.000
-2.013 3.487 -0.032
0.000 -0.016 10.035
Pa As S
2 1 2
Cartesian
0.000 1.171 6.698 Pa
2.013 2.301 3.304 Pa
2.013 -0.008 5.017 As
2.013 2.346 8.101 S
0.000 1.125 1.901 S
```

- density of states at the Fermi level (states/eV per atom) = 1.021



Which structure loses on stability? *a* does.



*a*
First-principles (GGA-PBE) data for an optimized crystal structure of PaSbAs2, as listed in Alexandria.

Structure (POSCAR):
```
PaSbAs2
1.0
4.116 0.000 0.000
2.058 3.564 0.000
2.058 1.188 8.666
Pa As Sb
1 2 1
Cartesian
4.116 2.376 4.333 Pa
6.173 3.564 2.790 As
2.058 1.188 5.876 As
0.000 0.000 0.000 Sb
```

- density of states at the Fermi level (states/eV per atom) = 0.520



*b*
First-principles (GGA-PBE) data for an optimized crystal structure of PaSbAs2, as listed in Alexandria.

Structure (POSCAR):
```
PaSbAs2
1.0
-1.541 -1.225 3.271
0.626 -3.614 -1.059
5.775 0.183 2.790
Sb Pa As
1 1 2
Cartesian
-0.457 -2.420 1.106 Sb
2.430 -2.328 2.501 Pa
4.059 0.129 1.960 As
1.716 0.054 0.829 As
```

- density of states at the Fermi level (states/eV per atom) = 0.728



*c*
First-principles (GGA-PBE) data for an optimized crystal structure of PaSbAs2, as listed in Alexandria.

Structure (POSCAR):
```
PaSbAs2
1.0
4.030 0.000 0.000
0.000 4.649 0.000
0.000 0.000 4.649
As Sb Pa
2 1 1
Cartesian
0.000 2.324 0.000 As
0.000 0.000 2.324 As
2.015 0.000 0.000 Sb
2.015 2.324 2.324 Pa
```

- density of states at the Fermi level (states/eV per atom) = 0.679



Which structure loses on stability? *a* does.



*a*
First-principles (GGA-PBE) data for an optimized crystal structure of Pa2SbAs, as listed in Alexandria.

Structure (POSCAR):
```
Pa2SbAs
1.0
4.191 0.000 0.000
2.096 3.630 0.000
2.096 1.210 7.016
Pa As Sb
2 1 1
Cartesian
6.287 3.630 5.084 Pa
2.096 1.210 1.932 Pa
4.191 2.420 3.508 As
0.000 0.000 0.000 Sb
```

- density of states at the Fermi level (states/eV per atom) = 1.634



*b*
First-principles (GGA-PBE) data for an optimized crystal structure of Pa2SbAs, as listed in Alexandria.

Structure (POSCAR):
```
Pa2SbAs
1.0
-1.785 0.495 3.090
-2.900 -1.599 -1.419
2.383 -6.465 2.414
Pa Sb As
2 1 1
Cartesian
1.752 -4.754 1.775 Pa
0.631 -1.711 0.639 Pa
-2.343 -0.552 0.835 Sb
-1.151 -3.784 2.042 As
```

- density of states at the Fermi level (states/eV per atom) = 1.747



Which structure loses on stability? *b* does.



*a*
First-principles (GGA-PBE) data for an optimized crystal structure of PaAsSe, as listed in Alexandria.

Structure (POSCAR):
```
PaAsSe
1.0
-4.697 -0.826 -0.284
-1.953 -3.570 2.502
-2.825 0.964 3.731
Se As Pa
1 1 1
Cartesian
-4.737 -1.716 2.974 Se
0.000 0.000 0.000 As
-2.369 -0.858 1.487 Pa
```



*b*
First-principles (GGA-PBE) data for an optimized crystal structure of PaAsSe, as listed in Alexandria.

Structure (POSCAR):
```
PaAsSe
1.0
3.765 0.000 0.000
0.000 3.765 0.000
-1.883 -1.883 4.576
Pa Se As
1 1 1
Cartesian
1.883 1.883 1.540 Pa
0.000 0.000 0.109 Se
0.000 0.000 2.927 As
```

- density of states at the Fermi level (states/eV per atom) = 0.693



*c*
First-principles (GGA-PBE) data for an optimized crystal structure of PaAsSe, as listed in Alexandria.

Structure (POSCAR):
```
PaAsSe
1.0
4.044 0.000 0.000
0.000 4.044 0.000
-2.022 -2.022 8.203
Pa Se As
2 2 2
Cartesian
0.000 0.000 6.069 Pa
2.022 2.022 2.133 Pa
0.000 0.000 3.029 Se
2.022 2.022 5.174 Se
0.000 2.022 0.000 As
2.022 0.000 0.000 As
```

- density of states at the Fermi level (states/eV per atom) = 1.214



*d*
First-principles (GGA-PBE) data for an optimized crystal structure of PaAsSe, as listed in Alexandria.

Structure (POSCAR):
```
PaAsSe
1.0
-2.056 4.645 3.928
-3.735 -1.962 0.365
3.136 -0.897 2.701
Pa Se As
1 1 1
Cartesian
-0.013 0.030 0.026 Pa
-3.041 1.999 4.193 Se
0.399 -0.243 2.776 As
```



Which structure loses on stability? *d* does.



*a*
First-principles (GGA-PBE) data for an optimized crystal structure of Pa3AsSe3, as listed in Alexandria.

Structure (POSCAR):
```
Pa3AsSe3
1.0
7.222 0.401 0.564
-2.858 6.644 0.564
-0.123 -0.199 7.380
Pa As Se
6 2 6
Cartesian
-0.103 3.370 2.824 Pa
0.141 0.227 5.841 Pa
4.100 6.619 2.667 Pa
4.344 3.477 5.684 Pa
3.063 1.409 2.824 Pa
1.178 5.438 5.684 Pa
3.057 4.936 7.655 As
1.183 1.910 0.853 As
2.686 4.337 3.311 Se
5.010 1.771 0.564 Se
5.568 1.288 4.254 Se
-0.647 5.275 0.564 Se
1.554 2.510 5.197 Se
-1.328 5.559 4.254 Se
```

- density of states at the Fermi level (states/eV per atom) = 1.501



*b*
First-principles (GGA-PBE) data for an optimized crystal structure of Pa3AsSe3, as listed in Alexandria.

Structure (POSCAR):
```
Pa3AsSe3
1.0
-5.344 -4.747 6.862
1.297 -5.909 -7.847
8.823 2.440 3.791
Se Pa As
12 12 4
Cartesian
8.712 -4.625 -2.376 Se
3.542 -6.206 2.042 Se
5.681 -0.796 2.581 Se
7.263 -1.193 -1.029 Se
9.072 0.925 1.846 Se
5.457 -3.242 -3.955 Se
0.217 -4.724 0.377 Se
3.756 -2.996 -0.339 Se
5.210 -6.377 -1.546 Se
7.127 -4.296 1.285 Se
1.807 -5.002 -3.144 Se
1.740 -8.205 -0.743 Se
-2.490 -7.081 3.878 Pa
-4.360 -9.173 0.974 Pa
-3.997 -3.565 5.152 Pa
3.069 0.027 3.601 Pa
4.588 -3.497 2.363 Pa
-2.348 -3.861 1.477 Pa
-0.461 -1.775 4.374 Pa
2.939 -3.208 6.016 Pa
1.047 -5.283 3.122 Pa
-0.841 -7.388 0.211 Pa
-0.620 -4.999 6.790 Pa
1.200 -2.047 0.711 Pa
2.064 -2.630 3.365 As
2.206 0.610 0.948 As
-1.478 -4.427 4.132 As
-3.360 -6.515 1.223 As
```

- density of states at the Fermi level (states/eV per atom) = 1.515



Which structure loses on stability? *a* does.